No. 1
This record from Alexandria via LeMat-Bulk describes an optimized crystal structure of ReHgO2F. The functional is PBE.

Cell: 4.2500 4.2500 4.4093 Å, 90.00 90.00 90.00°
Atoms (fractional coordinates):
Re 0.0000 0.0000 0.0000
Hg 0.5000 0.5000 0.5000
O 0.0000 0.5000 0.5000
O 0.5000 0.0000 0.5000
F 0.5000 0.5000 0.0000

***

No. 2
This record from Alexandria via LeMat-Bulk describes an optimized crystal structure of HgRuO4F. The functional is PBE.

Cell: 5.9670 5.9670 7.9845 Å, 102.10 102.10 82.73°
Atoms (fractional coordinates):
Hg 0.2039 0.2039 0.0748
Hg 0.7961 0.7961 0.9252
Ru 0.3629 0.3629 0.7325
Ru 0.6371 0.6371 0.2675
O 0.1598 0.4974 0.8613
O 0.2298 0.2298 0.5325
O 0.4409 0.4409 0.2702
O 0.4974 0.1598 0.8613
O 0.5026 0.8402 0.1387
O 0.5591 0.5591 0.7298
O 0.7702 0.7702 0.4675
O 0.8402 0.5026 0.1387
F 0.0091 0.0091 0.8264
F 0.9909 0.9909 0.1736

***

Final energy across the listed records, respectively: -20.3; -72.5 eV for the cell shown.
E_form (uncorrected) across the listed records, respectively: 0.85; -0.71 eV/atom.